A relaxed structure of SrZrRu3, computed with PBE.

Summary:
Magnetization, μB per formula unit: 3.25
DOS at the Fermi energy, states/eV/atom: 1.385
VASP energy, hartree per atom: -0.24375
Crystal system: cubic
ΔH_f (0 K), kcal/mol of atoms: 22.6
Offset from the most stable computed form, meV per atom: 0.0

```
data_SrZrRu3
_chemical_formula_sum 'Sr1 Zr1 Ru3'
_symmetry_space_group_name_H-M 'P m -3 m'
_symmetry_Int_Tables_number 221
_symmetry_space_group_name_Hall '-P 4 2 3'
_cell_length_a 4.928
_cell_length_b 4.928
_cell_length_c 4.928
_cell_angle_alpha 90.00
_cell_angle_beta 90.00
_cell_angle_gamma 90.00
loop_
_atom_site_label
_atom_site_fract_x
_atom_site_fract_y
_atom_site_fract_z
Sr1 0.000 0.000 0.000
Zr1 0.500 0.500 0.500
Ru1 0.000 0.500 0.500
```

***

A relaxed structure of Ta3Ru, computed with PBE.

Summary:
Magnetization, μB per formula unit: 0.00
DOS at the Fermi energy, states/eV/atom: 1.118
VASP energy, hartree per atom: -0.39998
Crystal system: orthorhombic
ΔH_f (0 K), kcal/mol of atoms: 7.5

```
data_Ta3Ru
_chemical_formula_sum 'Ta3 Ru1'
_symmetry_space_group_name_H-M 'P m m 2'
_symmetry_Int_Tables_number 25
_symmetry_space_group_name_Hall 'P 2 -2'
_cell_length_a 2.884
_cell_length_b 2.935
_cell_length_c 8.638
_cell_angle_alpha 90.00
_cell_angle_beta 90.00
_cell_angle_gamma 90.00
loop_
_atom_site_label
_atom_site_fract_x
_atom_site_fract_y
_atom_site_fract_z
Ta1 0.000 0.000 0.000
Ta2 0.000 0.500 0.291
Ta3 0.500 0.500 0.740
Ru1 0.500 0.000 0.490
```